Record 1
# Pm2CrHN3

A relaxed structure of Pm2CrHN3 (PBE, Alexandria).

Cell: 3.581 3.733 6.884 Å, 105.73 105.08 90.00°
Site moments in Bohr magnetons follow the coordinates.
Element x y z (fractional)
Pm 0.650 0.650 0.300  0.02
Pm 0.350 0.350 0.700  0.02
Cr 0.000 0.000 0.000  1.66
H 0.500 0.000 0.000  -0.02
N 0.000 0.500 0.000  -0.10
N 0.162 0.162 0.324  0.02
N 0.838 0.838 0.676  0.02

## Properties
**Calculated density**: 7.50 Mg/m³
**V**: 12.18 A^3/atom
**E_tot**: -54.54 eV for the cell shown

***

Record 2
# PrCrHN2

A relaxed structure of PrCrHN2 (PBE, Alexandria).

Cell: 3.593 3.852 3.852 Å, 90.00 90.00 90.00°
Site moments in Bohr magnetons follow the coordinates.
Element x y z (fractional)
Pr 0.500 0.500 0.500  0.00
Cr 0.000 0.000 0.000  0.34
H 0.500 0.000 0.000  -0.01
N 0.000 0.000 0.500  -0.01
N 0.000 0.500 0.000  -0.01

## Properties
**Calculated density**: 6.91 Mg/m³
**V**: 10.66 A^3/atom
**E_tot**: -38.15 eV for the cell shown

***

Record 3
# CrHPt2N

A relaxed structure of CrHPt2N (PBE, Alexandria).

Cell: 4.762 3.467 4.762 Å, 90.00 90.00 90.00°
Element x y z (fractional)
Cr 0.000 0.000 0.000
H 0.500 0.500 0.500
Pt 0.000 0.000 0.500
Pt 0.500 0.000 0.000
N 0.000 0.500 0.000

## Properties
**Calculated density**: 9.66 Mg/m³
**V**: 15.72 A^3/atom
**E_tot**: -26.73 eV for the cell shown